Arrangement A

MoAs2Os after structural relaxation. Source: Alexandria via LeMat-Bulk, functional PBE-GGA.

a = 3.053 Å, b = 5.224 Å, c = 4.047 Å
α = 90.00°, β = 90.00°, γ = 90.00°
Element x y z (fractional)
1 Mo 0.500 0.000 0.500
2 Os 0.000 0.500 0.500
3 As 0.000 0.000 0.000
4 As 0.500 0.500 0.000

Calculated values
Its space-group type is No. 47. For the volume, the calculation gives 16.14 Å³/atom.

Arrangement B

MoAs2Os after structural relaxation. Source: Alexandria via LeMat-Bulk, functional PBE-GGA.

a = 5.470 Å, b = 5.470 Å, c = 5.470 Å
α = 147.33°, β = 134.55°, γ = 57.09°
Element x y z (fractional)
1 Mo 0.499 0.499 0.000
2 Os 0.234 0.734 0.500
3 As 0.020 0.020 0.000
4 As 0.746 0.246 0.500

Calculated values
Its space-group type is No. 44. For the volume, the calculation gives 15.62 Å³/atom.

Arrangement C

MoAs2Os after structural relaxation. Source: Alexandria via LeMat-Bulk, functional PBE-GGA.

a = 10.463 Å, b = 10.463 Å, c = 10.463 Å
α = 16.07°, β = 16.07°, γ = 16.07°
Element x y z (fractional)
1 Mo 0.493 0.493 0.493
2 Os 0.755 0.755 0.755
3 As 0.027 0.027 0.027
4 As 0.225 0.225 0.225

Calculated values
Its space-group type is No. 160. For the volume, the calculation gives 19.12 Å³/atom.

The structure with the most favorable energy is arrangement C; the runner-up is 120 meV/atom above it.

Arrangement A

MoAs2Os after structural relaxation. Source: Alexandria via LeMat-Bulk, functional PBE-GGA.

a = 3.008 Å, b = 3.008 Å, c = 8.058 Å
α = 90.00°, β = 90.00°, γ = 118.01°
Element x y z (fractional)
1 Mo 0.500 0.500 0.250
2 Os 0.500 0.500 0.750
3 As 0.000 0.000 0.998
4 As 0.000 0.000 0.502

Calculated values
Its space-group type is No. 65. For the volume, the calculation gives 16.09 Å³/atom.

Arrangement B

MoAs2Os after structural relaxation. Source: Alexandria via LeMat-Bulk, functional PBE-GGA.

a = 5.669 Å, b = 5.669 Å, c = 6.784 Å
α = 65.30°, β = 65.30°, γ = 90.00°
Each line ends with the local moment (μB).
Element x y z (fractional)
1 Mo 0.500 0.500 0.000  1.19
2 Mo 0.250 0.750 0.500  1.19
3 Os 0.000 0.000 0.000  0.09
4 Os 0.750 0.250 0.500  0.09
5 As 0.641 0.125 0.250  -0.03
6 As 0.109 0.625 0.250  -0.03
7 As 0.375 0.359 0.750  -0.03
8 As 0.875 0.891 0.750  -0.03

Calculated values
Its space-group type is No. 122. For the volume, the calculation gives 21.98 Å³/atom.

The structure with the most favorable energy is arrangement A; the runner-up is 52 meV/atom above it.